First-principles (PBE+U) data for crystalline HoMoBrO4 at its relaxed geometry, as listed in Alexandria via LeMat-Bulk.

## Properties
energy above the most stable polymorph in this dataset: 0 meV/atom
Fermi-level density of states: 0.00 states/eV per cell

Unit cell a=7.048 b=7.322 c=10.920 alpha=102.80 beta=107.90 gamma=95.45
Fractional positions:
1 O 0.406 0.988 0.810
2 O 0.963 0.349 0.326
3 O 0.344 0.373 0.802
4 O 0.673 0.500 0.449
5 O 0.348 0.259 0.042
6 O 0.993 0.893 0.203
7 O 0.594 0.012 0.190
8 O 0.656 0.627 0.198
9 O 0.007 0.107 0.797
10 O 0.327 0.500 0.551
11 O 0.345 0.227 0.296
12 O 0.725 0.387 0.695
13 O 0.275 0.613 0.305
14 O 0.655 0.773 0.704
15 O 0.037 0.651 0.674
16 O 0.652 0.741 0.958
17 Br 0.734 0.984 0.479
18 Br 0.194 0.723 0.989
19 Br 0.806 0.277 0.011
20 Br 0.266 0.016 0.521
21 Mo 0.229 0.419 0.372
22 Mo 0.274 0.181 0.865
23 Mo 0.771 0.581 0.628
24 Mo 0.726 0.819 0.135
25 Ho 0.668 0.093 0.729
26 Ho 0.624 0.335 0.232
27 Ho 0.376 0.665 0.768
28 Ho 0.332 0.907 0.271

First-principles (PBE+U) data for crystalline HoMoBrO4 at its relaxed geometry, as listed in Alexandria via LeMat-Bulk.

## Properties
energy above the most stable polymorph in this dataset: 6 meV/atom
Fermi-level density of states: 0.00 states/eV per cell

Unit cell a=6.391 b=6.391 c=6.956 alpha=76.06 beta=76.06 gamma=69.34
Fractional positions:
1 O 0.541 0.541 0.200
2 O 0.890 0.507 0.848
3 O 0.298 0.298 0.533
4 O 0.493 0.110 0.152
5 O 0.110 0.493 0.152
6 O 0.702 0.702 0.467
7 O 0.459 0.459 0.800
8 O 0.507 0.890 0.848
9 Mo 0.364 0.364 0.267
10 Mo 0.636 0.636 0.733
11 Ho 0.230 0.230 0.881
12 Ho 0.770 0.770 0.119
13 Br 0.989 0.989 0.757
14 Br 0.011 0.011 0.243